VASP calculation (PBE) on crystalline Hf4MoOs2 at its relaxed geometry.

Unit cell a=5.617 b=5.617 c=5.617 alpha=109.08 beta=109.08 gamma=110.26
Fractional positions:
1 Hf 0.000 0.000 0.500
2 Hf 0.000 0.500 0.000
3 Hf 0.500 0.000 0.000
4 Hf 0.500 0.500 0.500
5 Mo 0.000 0.000 0.000
6 Os 0.000 0.500 0.500
7 Os 0.500 0.000 0.500

Results
VASP energy = -10.7204 eV per atom
V = 19.48 Å³ per atom
ΔE_f = -277 meV/atom



VASP calculation (PBE) on crystalline MgCu2 at its relaxed geometry.

Unit cell a=4.991 b=4.991 c=4.991 alpha=143.86 beta=143.86 gamma=52.04
Fractional positions:
1 Mg 0.000 0.000 0.000
2 Cu 0.319 0.319 0.000
3 Cu 0.681 0.681 0.000

Results
VASP energy = -3.3163 eV per atom
V = 14.33 Å³ per atom
ΔE_f = -54 meV/atom